Computed, not measured: an optimized crystal structure of BaMn2Cd at the PBE-GGA level of DFT.

Lattice parameters (Å, degrees): 6.3158 6.3158 3.2261 103.41 103.41 117.61
Closest atoms and distances in Å follow each position.
Positions (direct):
Ba (0.0000, 0.0000, 0.0000)  4 Mn 3.20, 2 Ba 3.23, 4 Cd 3.27-3.42
Mn (0.0000, 0.5000, 0.5000)  2 Cd 3.20, 2 Ba 3.20, 6 Mn 3.23-3.42
Mn (0.5000, 0.0000, 0.5000)  2 Ba 3.20, 2 Cd 3.20, 6 Mn 3.23-3.42
Cd (0.5000, 0.5000, 0.0000)  4 Mn 3.20, 2 Cd 3.23, 4 Ba 3.27-3.42

Output
energy of formation = 76.5 kJ per mole of atoms
spin magnetization = 1.980 μB per atom